First-principles (PBE) data for an optimized crystal structure of RbNdCuI5, as listed in Alexandria via LeMat-Bulk.

Cell: 10.2401 13.4906 11.5774 Å, 90.00 113.88 90.00°
Space group C2/c (No. 15)
One atom of each set of equivalent atoms:
Rb  0.0000  0.1387  0.2500 x4
Nd  0.0000  0.5000  0.0000 x4
Cu  0.0000  0.1904  0.7500 x4
I  0.0000  0.4112  0.2500 x4
I  0.1172  0.2940  0.6244 x8
I  0.1882  0.0782  0.9306 x8

Calculated values
- formation energy from raw total energies (meV per atom) = -1092
- electronic total energy (eV/atom) = -3.290
- total moment (μB/f.u.) = 0.00

***

First-principles (PBE) data for an optimized crystal structure of CrHPd3, as listed in Alexandria via LeMat-Bulk.

Cell: 7.2651 7.2651 8.4461 Å, 90.00 90.00 120.00°
Space group R-3c (No. 167, hexagonal axes)
One atom of each set of equivalent atoms:
Cr  0.0000  0.0000  0.0000 x6
H  0.0000  0.0000  0.2500 x6
Pd  0.0000  0.2624  0.2500 x18

Calculated values
- electronic total energy (eV/atom) = -5.652
- relative energy among the computed polymorphs (kJ/mol of atoms) = 14.3
- total moment (μB/f.u.) = 3.37

***

First-principles (PBE) data for an optimized crystal structure of Ac7Ge2N2, as listed in Alexandria via LeMat-Bulk.

Cell: 13.1396 7.7327 6.7696 Å, 90.00 90.76 90.00°
Space group C2/m (No. 12)
One atom of each set of equivalent atoms:
Ac  0.0000  0.0000  0.0000 x2
Ac  0.0713  0.5000  0.2345 x4
Ac  0.2051  0.2721  0.7615 x8
Ge  0.0000  0.1644  0.5000 x4
N  0.2280  0.0000  0.9585 x4

Calculated values
- formation energy from raw total energies (meV per atom) = -438
- electronic total energy (eV/atom) = -5.405
- total moment (μB/f.u.) = 0.00

***

First-principles (PBE) data for an optimized crystal structure of MnCo2Cu, as listed in Alexandria via LeMat-Bulk.

Cell: 8.4984 2.6357 4.3021 Å, 90.00 103.28 90.00°
Space group Cm (No. 8)
One atom of each set of equivalent atoms:
Mn  0.0000  0.0000  0.0000 x2
Co  0.2525  0.5000  0.2697 x2
Co  0.4942  0.0000  0.4932 x2
Cu  0.2442  0.0000  0.7551 x2

Calculated values
- electronic total energy (eV/atom) = -6.729
- ΔH_f (0 K) (eV per atom) = 0.14
- total moment (μB/f.u.) = 6.16

***

First-principles (PBE) data for an optimized crystal structure of Dy2Np3ScP6, as listed in Alexandria via LeMat-Bulk.

Cell: 6.8273 11.8216 6.8200 Å, 90.00 109.53 90.00°
Space group C2/m (No. 12)
One atom of each set of equivalent atoms:
Dy  0.0000  0.1659  0.0000 x4
Np  0.0000  0.0000  0.5000 x2
Np  0.0000  0.3311  0.5000 x4
Sc  0.0000  0.5000  0.0000 x2
P  0.2407  0.5000  0.7464 x4
P  0.2458  0.3373  0.2502 x8

Calculated values
- electronic total energy (eV/atom) = -8.444
- ΔH_f (0 K) (eV per atom) = -1.21
- total moment (μB/f.u.) = 10.93

***

First-principles (PBE) data for an optimized crystal structure of AsOsRh2, as listed in Alexandria via LeMat-Bulk.

Cell: 2.7857 4.8068 8.9901 Å, 90.00 90.00 90.00°
Space group Cmm2 (No. 35)
One atom of each set of equivalent atoms:
As  0.0000  0.0000  0.0000 x2
Os  0.0000  0.5000  0.2485 x2
Rh  0.0000  0.0000  0.4984 x2
Rh  0.0000  0.5000  0.7609 x2

Calculated values
- electronic total energy (eV/atom) = -7.221
- ΔH_f (0 K) (eV per atom) = 0.42
- total moment (μB/f.u.) = 0.00